5
Lattice="-0.911 -2.925 -2.547 3.839 -1.052 -0.165 -0.552 -2.492 3.060" Properties=species:S:1:pos:R:3 comment="IrBrO3 | Alexandria via LeMat-Bulk | PBE | relaxed" final_energy_ev_per_cell=-18.041 vol_a3_per_atom=12.65 spacegroup="Pm-3m, No. 221" pbc="T T T"
O -0.455 -1.463 -1.273
O -0.276 -1.246 1.530
O 1.920 -0.526 -0.082
Br 0.000 0.000 0.000
Ir 1.189 -3.235 0.174